Material: Ta3As2
Method: DFT, GGA-PBE
State: optimized geometry

Computed properties:
Calculated total energy ... -9.07 eV/atom
Space group ... Fdd2, No. 43
Relative energy among the computed polymorphs ... 0 meV/atom
Size of the total moment ... 0.00 μB per cell
Formation energy from the elements ... -99 meV/atom

abc: 7.985 7.227 5.367
angles: 77.14 61.92 40.94
Sites, in units of the cell vectors:
As 0.874 0.230 0.573
As 0.323 0.573 0.230
As 0.677 0.927 0.376
As 0.020 0.376 0.927
Ta 0.393 0.388 0.740
Ta 0.862 0.857 0.771
Ta 0.931 0.069 0.069
Ta 0.479 0.740 0.388
Ta 0.181 0.319 0.319
Ta 0.510 0.771 0.857

Material: CdFe2W
Method: DFT, GGA-PBE
State: optimized geometry

Computed properties:
Calculated total energy ... -7.41 eV/atom
Space group ... Cmmm, No. 65
Size of the total moment ... 4.23 μB per cell
Formation energy from the elements ... 285 meV/atom

abc: 2.695 2.695 8.639
angles: 90.00 90.00 107.70
Sites, in units of the cell vectors:
Fe 0.000 0.000 0.016
Fe 0.000 0.000 0.484
Cd 0.500 0.500 0.750
W 0.500 0.500 0.250

Material: V5Cu2Pd12
Method: DFT, GGA-PBE
State: optimized geometry

Computed properties:
Calculated total energy ... -6.02 eV/atom
Space group ... C2/m, No. 12
Size of the total moment ... 0.87 μB per cell
Formation energy from the elements ... 93 meV/atom

abc: 5.285 7.653 8.589
angles: 105.87 90.00 110.20
Sites, in units of the cell vectors:
Pd 0.917 0.334 0.591
Pd 0.088 0.175 0.283
Pd 0.950 0.388 0.103
Pd 0.493 0.986 0.650
Pd 0.050 0.612 0.897
Pd 0.083 0.666 0.409
Pd 0.912 0.825 0.717
Pd 0.507 0.014 0.350
Pd 0.562 0.612 0.897
Pd 0.582 0.666 0.409
Pd 0.438 0.388 0.103
Pd 0.418 0.334 0.591
Cu 0.740 0.000 0.000
Cu 0.260 0.000 0.000
V 0.670 0.340 0.329
V 0.330 0.660 0.671
V 0.641 0.282 0.855
V 0.000 0.000 0.500
V 0.359 0.718 0.145

Material: Cs3SnSb2
Method: DFT, GGA-PBE
State: optimized geometry

Computed properties:
Calculated total energy ... -2.83 eV/atom
Formation energy (no corrections) ... -2.147 eV per formula unit
Space group ... Pnma, No. 62
Size of the total moment ... 0.00 μB per cell

abc: 5.428 15.528 14.740
angles: 90.00 90.00 90.00
Sites, in units of the cell vectors:
Sb 0.250 0.820 0.925
Sb 0.250 0.473 0.798
Sb 0.750 0.527 0.202
Sb 0.750 0.320 0.575
Sb 0.750 0.180 0.075
Sb 0.250 0.680 0.425
Sb 0.750 0.973 0.702
Sb 0.250 0.027 0.298
Cs 0.750 0.565 0.625
Cs 0.250 0.802 0.665
Cs 0.250 0.698 0.165
Cs 0.250 0.435 0.375
Cs 0.250 0.389 0.073
Cs 0.250 0.065 0.875
Cs 0.750 0.302 0.835
Cs 0.750 0.889 0.427
Cs 0.750 0.198 0.335
Cs 0.250 0.111 0.573
Cs 0.750 0.611 0.927
Cs 0.750 0.935 0.125
Sn 0.750 0.867 0.855
Sn 0.750 0.633 0.355
Sn 0.250 0.133 0.145
Sn 0.250 0.367 0.645